Material: Ac2MgTlPt
Method: DFT, PBE-GGA
State: optimized geometry

Computed properties:
For the formation enthalpy at 0 K, the calculation gives -0.654 eV per atom. The calculation puts the total energy at -4.2974 eV per atom.

Cell and atoms, written as CIF:
```
data_Ac2MgTlPt
_cell_length_a 8.258
_cell_length_b 4.727
_cell_length_c 8.286
_cell_angle_alpha 90.00
_cell_angle_beta 110.06
_cell_angle_gamma 90.00
_space_group_name_H-M_alt 'P 1 21/m 1'
_space_group_IT_number 11
loop_
_space_group_symop_operation_xyz
'x,y,z'
'-x,-y,-z'
'-x,y+1/2,-z'
'x,-y+1/2,z'
loop_
_atom_site_label
_atom_site_fract_x
_atom_site_fract_y
_atom_site_fract_z
Ac1 0.102 0.250 0.333
Ac2 0.288 0.250 0.967
Mg1 0.440 0.750 0.341
Tl1 0.327 0.750 0.663
Pt1 0.115 0.750 0.093
```

Material: AcTmMgPt
Method: DFT, PBE-GGA
State: optimized geometry

Computed properties:
For the formation enthalpy at 0 K, the calculation gives -0.459 eV per atom. The calculation puts the total energy at -4.5130 eV per atom.

Cell and atoms, written as CIF:
```
data_AcTmMgPt
_cell_length_a 7.496
_cell_length_b 7.496
_cell_length_c 7.496
_cell_angle_alpha 90.00
_cell_angle_beta 90.00
_cell_angle_gamma 90.00
_space_group_name_H-M_alt 'F -4 3 m'
_space_group_IT_number 216
_space_group_name_Hall 'F -4 2 3'
loop_
_atom_site_label
_atom_site_fract_x
_atom_site_fract_y
_atom_site_fract_z
Ac1 0.000 0.000 0.000
Tm1 0.000 0.000 0.500
Mg1 0.250 0.250 0.750
Pt1 0.250 0.250 0.250
```